Record 1
Here is an optimized crystal structure of LaCo2Ag from Alexandria via LeMat-Bulk. Energies are from PBE.

Geometry as POSCAR:
```
LaCo2Ag
1.0
3.422 0.000 0.000
0.000 3.447 0.000
0.000 0.000 6.329
La Co Ag
1 2 1
direct
0.000 0.000 0.000 La
0.500 0.500 0.314 Co
0.500 0.500 0.686 Co
0.000 0.000 0.500 Ag
```

density of states at the Fermi level = 1.6607 states/eV per atom
magnetization = 2.6 μB per formula unit
energy of formation from the pure elements = 1.5 eV/f.u.
symmetry = Pmmm (47)

---

Record 2
Here is an optimized crystal structure of LaCo2Ag from Alexandria via LeMat-Bulk. Energies are from PBE.

Geometry as POSCAR:
```
LaCo2Ag
1.0
6.742 0.000 0.000
0.000 6.742 0.000
0.000 0.000 6.742
La Co Ag
4 8 4
direct
0.000 0.000 0.000 La
0.000 0.500 0.500 La
0.500 0.000 0.500 La
0.500 0.500 0.000 La
0.000 0.000 0.500 Co
0.000 0.500 0.000 Co
0.250 0.250 0.250 Co
0.250 0.750 0.750 Co
0.500 0.000 0.000 Co
0.500 0.500 0.500 Co
0.750 0.250 0.750 Co
0.750 0.750 0.250 Co
0.250 0.250 0.750 Ag
0.250 0.750 0.250 Ag
0.750 0.250 0.250 Ag
0.750 0.750 0.750 Ag
```

density of states at the Fermi level = 1.5006 states/eV per atom
magnetization = 3.2 μB per formula unit
energy of formation from the pure elements = 1.7 eV/f.u.
symmetry = F-43m (216)

---

Record 3
Here is an optimized crystal structure of La7CoAg2 from Alexandria via LeMat-Bulk. Energies are from PBE.

Geometry as POSCAR:
```
La7CoAg2
1.0
7.804 -4.474 0.000
7.804 4.474 0.000
-6.820 0.000 8.586
La Co Ag
14 2 4
direct
0.060 0.940 0.750 La
0.147 0.566 0.204 La
0.204 0.426 0.499 La
0.236 0.597 0.905 La
0.403 0.764 0.595 La
0.426 0.204 0.999 La
0.434 0.853 0.296 La
0.566 0.147 0.704 La
0.574 0.796 0.001 La
0.597 0.236 0.405 La
0.764 0.403 0.095 La
0.796 0.574 0.501 La
0.853 0.434 0.796 La
0.940 0.060 0.250 La
0.479 0.521 0.750 Co
0.521 0.479 0.250 Co
0.130 0.193 0.618 Ag
0.193 0.130 0.118 Ag
0.807 0.870 0.882 Ag
0.870 0.807 0.382 Ag
```

density of states at the Fermi level = 1.2832 states/eV per atom
magnetization = 0.0 μB per formula unit
energy of formation from the pure elements = -1.0 eV/f.u.
symmetry = C2/c (15)

---

Record 4
Here is an optimized crystal structure of La5Co2Ag from Alexandria via LeMat-Bulk. Energies are from PBE.

Geometry as POSCAR:
```
La5Co2Ag
1.0
-3.911 3.911 7.117
3.911 -3.911 7.117
3.911 3.911 -7.117
La Co Ag
10 4 2
direct
0.000 0.000 0.000 La
0.031 0.531 0.821 La
0.210 0.031 0.500 La
0.290 0.790 0.821 La
0.469 0.290 0.500 La
0.500 0.500 0.000 La
0.531 0.710 0.500 La
0.710 0.210 0.179 La
0.790 0.969 0.500 La
0.969 0.469 0.179 La
0.136 0.364 0.500 Co
0.364 0.864 0.229 Co
0.636 0.136 0.771 Co
0.864 0.636 0.500 Co
0.250 0.250 0.000 Ag
0.750 0.750 0.000 Ag
```

density of states at the Fermi level = 1.1645 states/eV per atom
magnetization = 0.0 μB per formula unit
energy of formation from the pure elements = -1.2 eV/f.u.
symmetry = I4/mcm (140)

---

Record 5
Here is an optimized crystal structure of La6Co2Ag from Alexandria via LeMat-Bulk. Energies are from PBE.

Geometry as POSCAR:
```
La6Co2Ag
1.0
-4.728 5.149 5.266
4.728 -5.149 5.266
4.728 5.149 -5.266
La Co Ag
12 4 2
direct
0.005 0.212 0.794 La
0.173 0.306 0.479 La
0.173 0.694 0.867 La
0.332 0.024 0.693 La
0.332 0.639 0.307 La
0.418 0.212 0.206 La
0.582 0.788 0.794 La
0.668 0.361 0.693 La
0.668 0.976 0.307 La
0.827 0.306 0.133 La
0.827 0.694 0.521 La
0.995 0.788 0.206 La
0.139 0.639 0.500 Co
0.338 0.000 0.338 Co
0.662 0.000 0.662 Co
0.861 0.361 0.500 Co
0.000 0.000 0.000 Ag
0.500 0.500 0.000 Ag
```

density of states at the Fermi level = 0.8765 states/eV per atom
magnetization = 0.0 μB per formula unit
energy of formation from the pure elements = -1.4 eV/f.u.
distance to the lowest polymorph of the same formula = 0 meV per atom
symmetry = Immm (71)

---

Record 6
Here is an optimized crystal structure of LaCoAg from Alexandria via LeMat-Bulk. Energies are from PBE.

Geometry as POSCAR:
```
LaCoAg
1.0
6.864 0.000 0.000
0.000 6.864 0.000
0.000 0.000 6.864
La Co Ag
4 4 4
direct
0.000 0.000 0.000 La
0.000 0.500 0.500 La
0.500 0.000 0.500 La
0.500 0.500 0.000 La
0.250 0.250 0.750 Co
0.250 0.750 0.250 Co
0.750 0.250 0.250 Co
0.750 0.750 0.750 Co
0.250 0.250 0.250 Ag
0.250 0.750 0.750 Ag
0.750 0.250 0.750 Ag
0.750 0.750 0.250 Ag
```

density of states at the Fermi level = 2.1283 states/eV per atom
magnetization = 1.0 μB per formula unit
energy of formation from the pure elements = 2.1 eV/f.u.
symmetry = F-43m (216)

---

Record 7
Here is an optimized crystal structure of LaCoAg from Alexandria via LeMat-Bulk. Energies are from PBE.

Geometry as POSCAR:
```
LaCoAg
1.0
4.458 0.000 0.000
-2.229 3.860 0.000
0.000 0.000 3.915
La Co Ag
1 1 1
direct
0.000 0.000 0.000 La
0.333 0.667 0.500 Co
0.667 0.333 0.500 Ag
```

density of states at the Fermi level = 0.7066 states/eV per atom
magnetization = 0.8 μB per formula unit
energy of formation from the pure elements = 0.1 eV/f.u.
symmetry = P-6m2 (187)

---

Record 8
Here is an optimized crystal structure of LaCo2Ag from Alexandria via LeMat-Bulk. Energies are from PBE.

Geometry as POSCAR:
```
LaCo2Ag
1.0
4.311 0.000 0.000
0.000 4.311 0.000
0.000 0.000 3.740
La Co Ag
1 2 1
direct
0.000 0.000 0.000 La
0.000 0.500 0.500 Co
0.500 0.000 0.500 Co
0.500 0.500 0.000 Ag
```

density of states at the Fermi level = 1.2597 states/eV per atom
magnetization = 1.3 μB per formula unit
energy of formation from the pure elements = 1.1 eV/f.u.
symmetry = P4/mmm (123)

---

Record 9
Here is an optimized crystal structure of LaCo2Ag from Alexandria via LeMat-Bulk. Energies are from PBE.

Geometry as POSCAR:
```
LaCo2Ag
1.0
4.443 0.000 0.000
-2.221 3.848 0.000
0.000 0.000 13.942
La Co Ag
3 6 3
direct
0.000 0.000 0.000 La
0.333 0.667 0.667 La
0.667 0.333 0.333 La
0.000 0.000 0.178 Co
0.000 0.000 0.822 Co
0.333 0.667 0.489 Co
0.333 0.667 0.845 Co
0.667 0.333 0.155 Co
0.667 0.333 0.511 Co
0.000 0.000 0.500 Ag
0.333 0.667 0.167 Ag
0.667 0.333 0.833 Ag
```

density of states at the Fermi level = 1.0781 states/eV per atom
magnetization = 1.2 μB per formula unit
energy of formation from the pure elements = 0.3 eV/f.u.
symmetry = R-3m (166)

---

Record 10
Here is an optimized crystal structure of La6CoAg from Alexandria via LeMat-Bulk. Energies are from PBE.

Geometry as POSCAR:
```
La6CoAg
1.0
6.899 0.000 0.000
-3.438 5.982 0.000
-0.004 -3.972 6.830
La Co Ag
6 1 1
direct
0.049 0.322 0.234 La
0.228 0.316 0.766 La
0.410 0.961 0.234 La
0.590 0.039 0.766 La
0.772 0.684 0.234 La
0.951 0.678 0.766 La
0.000 0.500 0.000 Co
0.500 0.500 0.500 Ag
```

density of states at the Fermi level = 1.5018 states/eV per atom
magnetization = 0.0 μB per formula unit
energy of formation from the pure elements = 0.0 eV/f.u.
symmetry = P-1 (2)

---

Record 11
Here is an optimized crystal structure of La3CoAg from Alexandria via LeMat-Bulk. Energies are from PBE.

Geometry as POSCAR:
```
La3CoAg
1.0
5.331 0.000 0.000
0.000 5.331 0.000
0.000 0.000 5.331
La Co Ag
3 1 1
direct
0.000 0.000 0.500 La
0.000 0.500 0.000 La
0.500 0.000 0.000 La
0.000 0.000 0.000 Co
0.500 0.500 0.500 Ag
```

density of states at the Fermi level = 1.3268 states/eV per atom
magnetization = 0.0 μB per formula unit
energy of formation from the pure elements = -0.4 eV/f.u.
distance to the lowest polymorph of the same formula = 82 meV per atom
symmetry = Pm-3m (221)

---

Record 12
Here is an optimized crystal structure of LaCo2Ag from Alexandria via LeMat-Bulk. Energies are from PBE.

Geometry as POSCAR:
```
LaCo2Ag
1.0
3.464 0.000 0.000
0.000 4.559 0.000
0.000 0.000 9.366
La Co Ag
2 4 2
direct
0.000 0.000 0.000 La
0.500 0.500 0.500 La
0.000 0.000 0.550 Co
0.000 0.500 0.216 Co
0.500 0.000 0.716 Co
0.500 0.500 0.050 Co
0.000 0.500 0.781 Ag
0.500 0.000 0.281 Ag
```

density of states at the Fermi level = 1.0703 states/eV per atom
magnetization = 2.3 μB per formula unit
energy of formation from the pure elements = 0.9 eV/f.u.
symmetry = Imm2 (44)

---

Record 13
Here is an optimized crystal structure of La3CoAg from Alexandria via LeMat-Bulk. Energies are from PBE.

Geometry as POSCAR:
```
La3CoAg
1.0
5.540 0.000 0.000
-2.764 6.191 0.000
-0.009 -3.693 8.287
La Co Ag
6 2 2
direct
0.103 0.205 0.238 La
0.164 0.326 0.654 La
0.376 0.753 0.090 La
0.624 0.247 0.910 La
0.836 0.674 0.346 La
0.897 0.795 0.762 La
0.130 0.257 0.939 Co
0.870 0.743 0.061 Co
0.400 0.800 0.546 Ag
0.600 0.200 0.454 Ag
```

density of states at the Fermi level = 0.8519 states/eV per atom
magnetization = 0.0 μB per formula unit
energy of formation from the pure elements = -0.8 eV/f.u.
distance to the lowest polymorph of the same formula = 0 meV per atom
symmetry = P-1 (2)